Record 1
## BeCuO2F (PBE)

Data for a relaxed structure of BeCuO2F.

Unit cell a=3.757 b=3.757 c=3.678 alpha=90.00 beta=90.00 gamma=90.00
Positions (direct):
O (0.000, 0.500, 0.000)
O (0.500, 0.000, 0.000)
Cu (0.000, 0.000, 0.000)
Be (0.500, 0.500, 0.500)
F (0.000, 0.000, 0.500)

## Properties
ΔE_f (raw) in eV/f.u.: -1.35
Symmetry: P4/mmm

=====

Record 2
## BeCuO2F (PBE)

Data for a relaxed structure of BeCuO2F.

Unit cell a=3.553 b=3.553 c=3.378 alpha=90.00 beta=90.00 gamma=90.00
Site moments in Bohr magnetons follow the coordinates.
Positions (direct):
O (0.000, 0.500, 0.000)  -0.62
O (0.500, 0.000, 0.000)  -0.62
Cu (0.500, 0.500, 0.500)  -0.55
Be (0.000, 0.000, 0.000)  0.02
F (0.000, 0.000, 0.500)  -0.06

## Properties
ΔE_f (raw) in eV/f.u.: -4.90
Symmetry: P4/mmm

=====

Record 3
## BeCuP2F (PBE)

Data for a relaxed structure of BeCuP2F.

Unit cell a=4.821 b=2.919 c=4.821 alpha=90.00 beta=90.00 gamma=90.00
Positions (direct):
Cu (0.500, 0.500, 0.500)
P (0.000, 0.000, 0.500)
P (0.500, 0.000, 0.000)
F (0.000, 0.500, 0.000)
Be (0.000, 0.000, 0.000)

## Properties
ΔE_f (raw) in eV/f.u.: -1.14
Symmetry: P4/mmm

=====

Record 4
## RbBe2CuF8 (PBE)

Data for a relaxed structure of RbBe2CuF8.

Unit cell a=4.850 b=4.850 c=8.563 alpha=73.55 beta=73.55 gamma=60.00
Site moments in Bohr magnetons follow the coordinates.
Positions (direct):
F (0.797, 0.797, 0.609)  0.01
F (0.997, 0.612, 0.141)  0.12
F (0.388, 0.750, 0.859)  0.12
F (0.250, 0.997, 0.141)  0.12
F (0.203, 0.203, 0.391)  0.01
F (0.003, 0.388, 0.859)  0.12
F (0.750, 0.003, 0.859)  0.12
F (0.612, 0.250, 0.141)  0.12
Rb (0.500, 0.500, 0.500)  0.00
Cu (0.000, 0.000, 0.000)  1.07
Be (0.265, 0.265, 0.205)  0.01
Be (0.735, 0.735, 0.795)  0.01

## Properties
ΔE_f (raw) in eV/f.u.: -30.81
Symmetry: R-3

=====

Record 5
## Rb2BeCuF6 (PBE)

Data for a relaxed structure of Rb2BeCuF6.

Unit cell a=5.605 b=5.605 c=5.987 alpha=62.09 beta=62.09 gamma=90.00
Site moments in Bohr magnetons follow the coordinates.
Positions (direct):
Rb (0.750, 0.250, 0.500)  0.00
Rb (0.250, 0.750, 0.500)  0.00
F (0.712, 0.712, 0.000)  0.03
F (0.288, 0.712, 0.000)  0.03
F (0.288, 0.288, 0.000)  0.03
F (0.712, 0.288, 0.000)  0.03
F (0.207, 0.207, 0.586)  0.07
F (0.793, 0.793, 0.414)  0.07
Be (0.500, 0.500, 0.000)  0.01
Cu (0.000, 0.000, 0.000)  0.71

## Properties
ΔE_f (raw) in eV/f.u.: -24.37
Symmetry: I4/mmm

=====

Record 6
## RbBeCu2F8 (PBE)

Data for a relaxed structure of RbBeCu2F8.

Unit cell a=4.968 b=4.968 c=8.344 alpha=72.68 beta=72.68 gamma=60.00
Site moments in Bohr magnetons follow the coordinates.
Positions (direct):
F (0.746, 0.422, 0.648)  0.11
F (0.696, 0.696, 0.912)  0.23
F (0.422, 0.184, 0.648)  0.11
F (0.304, 0.304, 0.088)  0.23
F (0.254, 0.816, 0.352)  0.11
F (0.578, 0.254, 0.352)  0.11
F (0.184, 0.746, 0.648)  0.11
F (0.816, 0.578, 0.352)  0.11
Cu (0.774, 0.774, 0.679)  0.86
Cu (0.226, 0.226, 0.321)  0.86
Be (0.500, 0.500, 0.500)  0.00
Rb (0.000, 0.000, 0.000)  0.00

## Properties
ΔE_f (raw) in eV/f.u.: -22.13
Symmetry: R32